(1)
Compound: CoSbPt2
Source: the Alexandria database
Functional: PBE-GGA
Structure: relaxed

Cell: 4.720 4.720 4.151 Å, 71.98 71.98 48.95°
Site moments in Bohr magnetons follow the coordinates.
Fractional coordinates of all 4 atoms:
Pt 0.257 0.257 0.265  0.10
Pt 0.002 0.002 0.948  0.17
Sb 0.513 0.513 0.476  0.00
Co 0.728 0.728 0.811  1.67

Properties
The uncorrected formation energy comes out at -0.14 eV per formula unit.

---

(2)
Compound: CdInSb
Source: the Alexandria database
Functional: PBE-GGA
Structure: relaxed

Cell: 4.445 5.533 6.828 Å, 90.00 105.41 90.00°
Fractional coordinates of all 6 atoms:
Sb 0.306 0.000 0.041
Sb 0.306 0.500 0.541
Cd 0.636 0.500 0.213
Cd 0.636 0.000 0.713
In 0.971 0.500 0.874
In 0.971 0.000 0.374

Properties
The uncorrected formation energy comes out at 0.01 eV per formula unit.

---

(3)
Compound: AgHSe3
Source: the Alexandria database
Functional: PBE-GGA
Structure: relaxed

Cell: 4.432 4.432 4.432 Å, 90.00 90.00 90.00°
Fractional coordinates of all 5 atoms:
Se 0.500 0.000 0.000
Se 0.000 0.000 0.500
Se 0.000 0.500 0.000
Ag 0.500 0.500 0.500
H 0.000 0.000 0.000

Properties
The total energy comes out at -2.61 eV/atom.

---

(4)
Compound: AcS
Source: the Alexandria database
Functional: PBE-GGA
Structure: relaxed

Cell: 4.306 4.306 4.306 Å, 60.00 60.00 60.00°
Fractional coordinates of all 2 atoms:
S 0.500 0.500 0.500
Ac 0.000 0.000 0.000

Properties
The uncorrected formation energy comes out at -4.02 eV per formula unit.